! K2MnBr | Alexandria via LeMat-Bulk | PBE | relaxed; values from VASP
! spin magnetization = 4.29 μB per formula unit
! polymorph energy (0 for the lowest one) = 1.40 eV/f.u.
! uncorrected energy = -3.101 eV/atom
! formation energy (no corrections) = 0.158 eV/atom
&SYSTEM
  ibrav = 0, nat = 4, ntyp = 3
/
ATOMIC_SPECIES
Mn 54.94 Mn.upf
Br 79.90 Br.upf
K 39.10 K.upf
ATOMIC_POSITIONS crystal
Mn 0.7500 0.7500 0.7500
Br 0.5000 0.5000 0.5000
K 0.0000 0.0000 0.0000
K 0.2500 0.2500 0.2500
CELL_PARAMETERS angstrom
-4.5938 -3.7929 0.6654
-0.3290 -4.9328 -3.3898
0.8975 -5.3923 2.4597


! K5MnBr8 | Alexandria via LeMat-Bulk | PBE | relaxed; values from VASP
! spin magnetization = 3.79 μB per formula unit
! uncorrected energy = -3.378 eV/atom
! formation energy (no corrections) = -1.375 eV/atom
&SYSTEM
  ibrav = 0, nat = 14, ntyp = 3
/
ATOMIC_SPECIES
K 39.10 K.upf
Br 79.90 Br.upf
Mn 54.94 Mn.upf
ATOMIC_POSITIONS crystal
K 0.3965 0.1479 0.9753
K 0.8273 0.8521 0.2486
K 0.7514 0.5788 0.6035
K 0.0247 0.4212 0.1727
K 0.5000 0.0000 0.5000
Br 0.0558 0.2284 0.7631
Br 0.7208 0.2003 0.3121
Br 0.4795 0.5913 0.2792
Br 0.1726 0.7073 0.9442
Br 0.5347 0.7716 0.8274
Br 0.2369 0.2927 0.4653
Br 0.6879 0.4087 0.8882
Br 0.1118 0.7997 0.5205
Mn 0.2500 0.5000 0.7500
CELL_PARAMETERS angstrom
8.4114 0.0000 -2.4886
-4.3878 6.9171 -3.1378
0.3642 0.0000 8.7642


! K2MnBr5 | Alexandria via LeMat-Bulk | PBE | relaxed; values from VASP
! spin magnetization = 4.00 μB per formula unit
! uncorrected energy = -3.676 eV/atom
! formation energy (no corrections) = -1.210 eV/atom
&SYSTEM
  ibrav = 0, nat = 8, ntyp = 3
/
ATOMIC_SPECIES
Br 79.90 Br.upf
Mn 54.94 Mn.upf
K 39.10 K.upf
ATOMIC_POSITIONS crystal
Br 0.7938 0.7938 0.0345
Br 0.2407 0.7938 0.0345
Br 0.7158 0.7158 0.4316
Br 0.2407 0.2407 0.0345
Br 0.7938 0.2407 0.0345
Mn 0.9744 0.9744 0.9489
K 0.7589 0.2589 0.5177
K 0.2589 0.7589 0.5177
CELL_PARAMETERS angstrom
7.7118 0.0000 -0.0002
0.0002 7.7118 -0.0002
-3.8559 -3.8559 4.7731


! K2MnBr | Alexandria via LeMat-Bulk | PBE | relaxed; values from VASP
! spin magnetization = 4.56 μB per formula unit
! polymorph energy (0 for the lowest one) = 0.13 eV/f.u.
! uncorrected energy = -3.419 eV/atom
! formation energy (no corrections) = -0.159 eV/atom
&SYSTEM
  ibrav = 0, nat = 4, ntyp = 3
/
ATOMIC_SPECIES
Mn 54.94 Mn.upf
K 39.10 K.upf
Br 79.90 Br.upf
ATOMIC_POSITIONS crystal
Mn 0.7500 0.7500 0.7500
K 0.5140 0.5140 0.4593
K 0.9860 0.9860 0.0407
Br 0.2500 0.2500 0.2500
CELL_PARAMETERS angstrom
-2.1931 -0.6730 -3.5911
2.0377 -0.1207 -3.7406
1.2989 -10.3281 -1.3976


! KMn2Br | Alexandria via LeMat-Bulk | PBE | relaxed; values from VASP
! spin magnetization = 7.95 μB per formula unit
! polymorph energy (0 for the lowest one) = 1.45 eV/f.u.
! uncorrected energy = -4.712 eV/atom
! formation energy (no corrections) = 0.565 eV/atom
&SYSTEM
  ibrav = 0, nat = 8, ntyp = 3
/
ATOMIC_SPECIES
Mn 54.94 Mn.upf
Br 79.90 Br.upf
K 39.10 K.upf
ATOMIC_POSITIONS crystal
Mn 0.8750 0.1263 0.7500
Mn 0.8763 0.1250 0.2500
Mn 0.3750 0.1237 0.7500
Mn 0.8737 0.6250 0.2500
Br 0.7500 0.2500 0.5000
Br 0.0000 0.0000 0.0000
K 0.2500 0.7500 0.5000
K 0.5000 0.5000 0.0000
CELL_PARAMETERS angstrom
4.9876 0.0000 0.0000
0.0000 4.9876 0.0000
2.4938 2.4938 10.1363


! KMnBr | Alexandria via LeMat-Bulk | PBE | relaxed; values from VASP
! spin magnetization = 5.00 μB per formula unit
! polymorph energy (0 for the lowest one) = 0.55 eV/f.u.
! uncorrected energy = -3.822 eV/atom
! formation energy (no corrections) = 0.158 eV/atom
&SYSTEM
  ibrav = 0, nat = 3, ntyp = 3
/
ATOMIC_SPECIES
Br 79.90 Br.upf
Mn 54.94 Mn.upf
K 39.10 K.upf
ATOMIC_POSITIONS crystal
Br 0.7500 0.7500 0.7500
Mn 0.5000 0.5000 0.5000
K 0.0000 0.0000 0.0000
CELL_PARAMETERS angstrom
-3.6678 -3.6878 -1.7650
1.3332 -3.4887 -4.0273
0.7142 -5.3316 1.1097


! K2MnBr | Alexandria via LeMat-Bulk | PBE | relaxed; values from VASP
! spin magnetization = 4.65 μB per formula unit
! polymorph energy (0 for the lowest one) = 0.76 eV/f.u.
! uncorrected energy = -3.261 eV/atom
! formation energy (no corrections) = -0.002 eV/atom
&SYSTEM
  ibrav = 0, nat = 4, ntyp = 3
/
ATOMIC_SPECIES
Br 79.90 Br.upf
K 39.10 K.upf
Mn 54.94 Mn.upf
ATOMIC_POSITIONS crystal
Br 0.5000 0.5000 0.7623
K 0.0000 0.0000 0.8932
K 0.5000 0.5000 0.3129
Mn 0.0000 0.0000 0.5316
CELL_PARAMETERS angstrom
4.1143 -0.0187 0.0000
0.0120 4.1143 0.0000
0.0000 0.0000 10.4677


! KMn2Br | Alexandria via LeMat-Bulk | PBE | relaxed; values from VASP
! spin magnetization = 8.96 μB per formula unit
! polymorph energy (0 for the lowest one) = 0.60 eV/f.u.
! uncorrected energy = -4.926 eV/atom
! formation energy (no corrections) = 0.352 eV/atom
&SYSTEM
  ibrav = 0, nat = 4, ntyp = 3
/
ATOMIC_SPECIES
Br 79.90 Br.upf
K 39.10 K.upf
Mn 54.94 Mn.upf
ATOMIC_POSITIONS crystal
Br 0.7500 0.2500 0.5000
K 0.2500 0.7500 0.5000
Mn 0.9780 0.9780 0.0000
Mn 0.5220 0.5220 0.0000
CELL_PARAMETERS angstrom
6.9104 0.0085 0.0003
4.2495 5.4494 -0.0003
-5.0776 -3.7561 2.8042


! KMn2Br | Alexandria via LeMat-Bulk | PBE | relaxed; values from VASP
! spin magnetization = 8.56 μB per formula unit
! polymorph energy (0 for the lowest one) = 0.54 eV/f.u.
! uncorrected energy = -4.939 eV/atom
! formation energy (no corrections) = 0.338 eV/atom
&SYSTEM
  ibrav = 0, nat = 4, ntyp = 3
/
ATOMIC_SPECIES
Mn 54.94 Mn.upf
K 39.10 K.upf
Br 79.90 Br.upf
ATOMIC_POSITIONS crystal
Mn 0.8231 0.8231 0.8140
Mn 0.0724 0.0724 0.9035
K 0.2101 0.2101 0.2631
Br 0.3944 0.3944 0.5194
CELL_PARAMETERS angstrom
5.0228 0.2995 -0.0069
3.7045 3.4051 -0.0069
3.2251 1.3690 7.2336


! K2MnBr | Alexandria via LeMat-Bulk | PBE | relaxed; values from VASP
! spin magnetization = 4.00 μB per formula unit
! polymorph energy (0 for the lowest one) = 0.61 eV/f.u.
! uncorrected energy = -3.300 eV/atom
! formation energy (no corrections) = -0.040 eV/atom
&SYSTEM
  ibrav = 0, nat = 8, ntyp = 3
/
ATOMIC_SPECIES
Br 79.90 Br.upf
Mn 54.94 Mn.upf
K 39.10 K.upf
ATOMIC_POSITIONS crystal
Br 0.7500 0.2500 0.5000
Br 0.0000 0.0000 0.0000
Mn 0.5000 0.5000 0.0000
Mn 0.2500 0.7500 0.5000
K 0.3750 0.3385 0.7500
K 0.8750 0.9115 0.7500
K 0.0885 0.6250 0.2500
K 0.6615 0.1250 0.2500
CELL_PARAMETERS angstrom
-6.3883 -2.2058 -6.0474
6.0949 0.6684 -6.6823
0.8534 -5.0044 -5.8764


! KMn2Br | Alexandria via LeMat-Bulk | PBE | relaxed; values from VASP
! spin magnetization = 9.05 μB per formula unit
! polymorph energy (0 for the lowest one) = 0.70 eV/f.u.
! uncorrected energy = -4.901 eV/atom
! formation energy (no corrections) = 0.377 eV/atom
&SYSTEM
  ibrav = 0, nat = 4, ntyp = 3
/
ATOMIC_SPECIES
Br 79.90 Br.upf
Mn 54.94 Mn.upf
K 39.10 K.upf
ATOMIC_POSITIONS crystal
Br 0.2500 0.7500 0.5000
Mn 0.5000 0.5000 0.0000
Mn 0.0000 0.0000 0.0000
K 0.7500 0.2500 0.5000
CELL_PARAMETERS angstrom
7.3831 0.0652 0.0000
4.9572 5.4718 0.0000
-6.1701 -2.7685 2.9630


! K4MnBr6 | Alexandria via LeMat-Bulk | PBE | relaxed; values from VASP
! spin magnetization = 5.00 μB per formula unit
! polymorph energy (0 for the lowest one) = 0.16 eV/f.u.
! uncorrected energy = -3.617 eV/atom
! formation energy (no corrections) = -1.472 eV/atom
&SYSTEM
  ibrav = 0, nat = 22, ntyp = 3
/
ATOMIC_SPECIES
Br 79.90 Br.upf
Mn 54.94 Mn.upf
K 39.10 K.upf
ATOMIC_POSITIONS crystal
Br 0.0934 0.2970 0.5000
Br 0.5000 0.5000 0.2822
Br 0.0000 0.0000 0.7822
Br 0.4066 0.7970 0.0000
Br 0.5934 0.2030 0.0000
Br 0.2970 0.9066 0.5000
Br 0.7030 0.0934 0.5000
Br 0.5000 0.5000 0.7178
Br 0.7970 0.5934 0.0000
Br 0.0000 0.0000 0.2178
Br 0.9066 0.7030 0.5000
Br 0.2030 0.4066 0.0000
Mn 0.5000 0.5000 0.0000
Mn 0.0000 0.0000 0.5000
K 0.8281 0.3281 0.2500
K 0.3281 0.1719 0.2500
K 0.6719 0.8281 0.2500
K 0.1719 0.6719 0.7500
K 0.1719 0.6719 0.2500
K 0.8281 0.3281 0.7500
K 0.6719 0.8281 0.7500
K 0.3281 0.1719 0.7500
CELL_PARAMETERS angstrom
9.0232 0.0000 0.0000
0.0000 9.0232 0.0000
0.0000 0.0000 9.3057


Please write out number 4 again, unchanged.
! K2MnBr | Alexandria via LeMat-Bulk | PBE | relaxed; values from VASP
! spin magnetization = 4.56 μB per formula unit
! polymorph energy (0 for the lowest one) = 0.13 eV/f.u.
! uncorrected energy = -3.419 eV/atom
! formation energy (no corrections) = -0.159 eV/atom
&SYSTEM
  ibrav = 0, nat = 4, ntyp = 3
/
ATOMIC_SPECIES
Mn 54.94 Mn.upf
K 39.10 K.upf
Br 79.90 Br.upf
ATOMIC_POSITIONS crystal
Mn 0.7500 0.7500 0.7500
K 0.5140 0.5140 0.4593
K 0.9860 0.9860 0.0407
Br 0.2500 0.2500 0.2500
CELL_PARAMETERS angstrom
-2.1931 -0.6730 -3.5911
2.0377 -0.1207 -3.7406
1.2989 -10.3281 -1.3976